(1)
DFT (GGA-PBE) results for a relaxed Ce2BeSi3 crystal.

ΔE_f (raw)   -0.66 eV/atom
Excess energy over the best structure of this formula in the dataset   0 meV per atom
N(E_F)   1.31 states/eV per atom
Electronic total energy   -5.97 eV/atom
Space group   No. 69

a b c (Å): 5.790 5.790 8.044
angles (deg): 112.68 112.68 85.89
Atoms (fractional coordinates):
Ce (0.250, 0.750, 0.500)
Ce (0.754, 0.754, 0.000)
Ce (0.750, 0.250, 0.500)
Ce (0.246, 0.246, 0.000)
Be (0.667, 0.667, 0.333)
Be (0.333, 0.333, 0.667)
Si (0.347, 0.826, 0.173)
Si (0.174, 0.653, 0.827)
Si (0.653, 0.174, 0.827)
Si (0.826, 0.347, 0.173)
Si (0.173, 0.173, 0.346)
Si (0.827, 0.827, 0.654)



(2)
DFT (GGA-PBE) results for a relaxed CeBe2Si2Tc crystal.

ΔE_f (raw)   -0.40 eV/atom
N(E_F)   0.91 states/eV per atom
Electronic total energy   -6.16 eV/atom
Space group   No. 164

a b c (Å): 3.916 3.916 6.663
angles (deg): 90.00 90.00 120.00
Atoms (fractional coordinates):
Ce (0.000, 0.000, 0.000)
Be (0.667, 0.333, 0.664)
Be (0.333, 0.667, 0.336)
Si (0.667, 0.333, 0.293)
Si (0.333, 0.667, 0.707)
Tc (0.000, 0.000, 0.500)



(3)
DFT (GGA-PBE) results for a relaxed Ce2Be3Si4Tc crystal.

ΔE_f (raw)   -0.43 eV/atom
N(E_F)   0.98 states/eV per atom
Electronic total energy   -5.94 eV/atom
Space group   No. 115

a b c (Å): 3.971 3.971 9.841
angles (deg): 90.00 90.00 90.00
Atoms (fractional coordinates):
Ce (0.500, 0.000, 0.241)
Ce (0.000, 0.500, 0.759)
Be (0.000, 0.000, 0.500)
Be (0.500, 0.000, 0.875)
Be (0.000, 0.500, 0.125)
Si (0.500, 0.500, 0.000)
Si (0.000, 0.000, 0.000)
Si (0.500, 0.000, 0.638)
Si (0.000, 0.500, 0.362)
Tc (0.500, 0.500, 0.500)



(4)
DFT (GGA-PBE) results for a relaxed CeBeSi2Tc crystal.

ΔE_f (raw)   -0.47 eV/atom
N(E_F)   1.19 states/eV per atom
Electronic total energy   -6.65 eV/atom
Space group   No. 119

a b c (Å): 3.942 3.942 5.948
angles (deg): 109.35 109.35 90.00
Atoms (fractional coordinates):
Ce (0.000, 0.000, 0.000)
Be (0.750, 0.250, 0.500)
Si (0.619, 0.619, 0.238)
Si (0.381, 0.381, 0.762)
Tc (0.250, 0.750, 0.500)



(5)
DFT (GGA-PBE) results for a relaxed Ce2Be4ZnSi3 crystal.

ΔE_f (raw)   -0.38 eV/atom
N(E_F)   0.98 states/eV per atom
Electronic total energy   -4.81 eV/atom
Space group   No. 115

a b c (Å): 3.972 3.972 9.515
angles (deg): 90.00 90.00 90.00
Atoms (fractional coordinates):
Ce (0.500, 0.000, 0.245)
Ce (0.000, 0.500, 0.755)
Be (0.500, 0.500, 0.000)
Be (0.000, 0.000, 0.000)
Be (0.500, 0.000, 0.632)
Be (0.000, 0.500, 0.368)
Zn (0.500, 0.500, 0.500)
Si (0.000, 0.000, 0.500)
Si (0.500, 0.000, 0.871)
Si (0.000, 0.500, 0.129)



(6)
DFT (GGA-PBE) results for a relaxed Ce2SmBe crystal.

N(E_F)   2.40 states/eV per atom
Electronic total energy   -4.34 eV/atom
Space group   No. 166

a b c (Å): 3.149 3.149 12.064
angles (deg): 82.50 82.50 60.00
Atoms (fractional coordinates):
Be (0.000, 0.000, 0.000)
Ce (0.081, 0.081, 0.757)
Ce (0.919, 0.919, 0.243)
Sm (0.500, 0.500, 0.500)



(7)
DFT (GGA-PBE) results for a relaxed CeSmBeZn crystal.

N(E_F)   1.87 states/eV per atom
Electronic total energy   -3.90 eV/atom
Space group   No. 216

a b c (Å): 5.021 5.021 5.021
angles (deg): 60.00 60.00 60.00
Atoms (fractional coordinates):
Be (0.500, 0.500, 0.500)
Zn (0.000, 0.000, 0.000)
Ce (0.750, 0.750, 0.750)
Sm (0.250, 0.250, 0.250)



(8)
DFT (GGA-PBE) results for a relaxed Ce2BeSn crystal.

N(E_F)   2.09 states/eV per atom
Electronic total energy   -4.43 eV/atom
Space group   No. 166

a b c (Å): 3.105 3.105 11.767
angles (deg): 82.42 82.42 60.00
Atoms (fractional coordinates):
Be (0.000, 0.000, 0.000)
Sn (0.500, 0.500, 0.500)
Ce (0.085, 0.085, 0.744)
Ce (0.915, 0.915, 0.256)



(9)
DFT (GGA-PBE) results for a relaxed TbCeBe crystal.

N(E_F)   1.67 states/eV per atom
Electronic total energy   -4.60 eV/atom
Space group   No. 107

a b c (Å): 3.447 3.447 6.477
angles (deg): 105.43 105.43 90.00
Atoms (fractional coordinates):
Be (0.664, 0.664, 0.328)
Tb (0.030, 0.030, 0.060)
Ce (0.306, 0.306, 0.612)



(10)
DFT (GGA-PBE) results for a relaxed Ce2BeTc crystal.

N(E_F)   1.24 states/eV per atom
Electronic total energy   -6.40 eV/atom
Space group   No. 123

a b c (Å): 3.512 4.819 4.819
angles (deg): 90.00 90.00 90.00
Atoms (fractional coordinates):
Be (0.500, 0.500, 0.500)
Tc (0.500, 0.000, 0.000)
Ce (0.000, 0.000, 0.500)
Ce (0.000, 0.500, 0.000)



(11)
DFT (GGA-PBE) results for a relaxed CeBe4Tc crystal.

N(E_F)   1.03 states/eV per atom
Electronic total energy   -5.18 eV/atom
Space group   No. 216

a b c (Å): 4.743 4.743 4.743
angles (deg): 60.00 60.00 60.00
Atoms (fractional coordinates):
Be (0.628, 0.628, 0.116)
Be (0.628, 0.116, 0.628)
Be (0.628, 0.628, 0.628)
Be (0.116, 0.628, 0.628)
Tc (0.000, 0.000, 0.000)
Ce (0.250, 0.250, 0.250)



(12)
DFT (GGA-PBE) results for a relaxed Ce2BeTc crystal.

N(E_F)   1.88 states/eV per atom
Electronic total energy   -5.81 eV/atom
Space group   No. 166

a b c (Å): 3.005 3.005 10.702
angles (deg): 81.93 81.93 60.00
Atoms (fractional coordinates):
Be (0.000, 0.000, 0.000)
Tc (0.500, 0.500, 0.500)
Ce (0.094, 0.094, 0.719)
Ce (0.906, 0.906, 0.281)